Cd2InAg3 PBE-GGA optimized geometry; ΔE to the lowest computed polymorph = 0 meV per atom; SG = Cmmm; spin magnetization = 0.0 μB per formula unit
1.0
2.334 -7.020 0.000
2.334 7.020 0.000
0.000 0.000 7.222
Cd In Ag
4 2 6
Cartesian
0.000 0.000 0.000
0.000 0.000 3.611
2.334 2.349 0.000
2.334 -2.349 0.000
2.334 2.304 3.611
2.334 -2.304 3.611
2.334 4.682 1.783
2.334 4.682 5.439
2.334 0.000 1.759
2.334 0.000 5.463
2.334 -4.682 1.783
2.334 -4.682 5.439

***

POsPt4 PBE-GGA optimized geometry; uncorrected energy = -6.0021 eV/atom; SG = F-43m; spin magnetization = 1.9 μB per formula unit
1.0
0.000 3.692 3.692
3.692 0.000 3.692
3.692 3.692 0.000
P Os Pt
1 1 4
Cartesian
0.000 0.000 0.000
1.846 1.846 1.846
4.613 2.771 2.771
2.771 4.613 2.771
2.771 2.771 4.613
4.613 4.613 4.613

***

Y2AsP PBE-GGA optimized geometry; uncorrected energy = -5.9919 eV/atom; SG = F-43m; spin magnetization = 0.0 μB per formula unit
1.0
0.000 3.504 3.504
3.504 0.000 3.504
3.504 3.504 0.000
Y As P
2 1 1
Cartesian
0.000 0.000 0.000
1.752 1.752 1.752
3.504 3.504 3.504
5.256 5.256 5.256

***

Pu2Si2Ni3 PBE-GGA optimized geometry; SG = C2/m; spin magnetization = 0.0 μB per formula unit; raw formation energy = -358 meV/atom
1.0
5.307 -1.712 0.000
5.307 1.712 0.000
-3.613 0.000 5.525
Pu Si Ni
2 2 3
Cartesian
0.604 0.000 1.985
6.396 0.000 3.540
-1.234 0.000 4.265
8.235 0.000 1.260
4.122 0.000 0.331
3.500 0.000 2.762
2.878 0.000 5.194